PBE-GGA NaHfAgTe3, optimized geometry; total DFT energy (no corrections) = -4.5047 eV/atom; theoretical density = 6.98 g cm⁻³; size of the total moment = 0.0 μB per cell
1.0
8.355 0.000 0.000
0.000 4.333 0.000
0.000 0.000 18.194
Ag Hf Na Te
4 4 4 12
direct
0.500 0.750 0.175
0.000 0.750 0.325
0.000 0.250 0.675
0.500 0.250 0.825
0.243 0.750 0.046
0.743 0.750 0.454
0.257 0.250 0.546
0.757 0.250 0.954
0.860 0.250 0.193
0.360 0.250 0.307
0.640 0.750 0.693
0.140 0.750 0.807
0.873 0.750 0.049
0.495 0.250 0.075
0.171 0.750 0.197
0.671 0.750 0.303
0.995 0.250 0.425
0.373 0.750 0.451
0.627 0.250 0.549
0.005 0.750 0.575
0.329 0.250 0.697
0.829 0.250 0.803
0.505 0.750 0.925
0.127 0.250 0.951